No. 1
Here is a relaxed PrTmCrN3 crystal from Alexandria via LeMat-Bulk. Energies are from PBE.

extended XYZ file:
```
12
Lattice="-2.775 -1.978 0.118 4.235 -5.830 1.860 -1.592 2.631 6.660" Properties=species:S:1:pos:R:3 pbc="T T T"
Pr 0.072 -4.092 6.992
Tm -1.872 -1.404 6.326
N -2.211 -1.077 3.847
Cr -1.301 0.604 4.173
N 1.368 -6.164 2.721
N 0.430 -1.668 6.776
Cr 1.169 -5.781 4.464
N -1.500 0.987 5.916
Pr -0.204 -1.085 1.646
N -0.562 -3.508 1.862
Tm 1.741 -3.773 2.311
N 2.079 -4.100 4.791
```

Computed properties:
N(E_F) in states/eV per cell: 4.67
Formation energy without anion corrections in eV per atom: -1.109
Total energy in eV per atom: -8.417

No. 2
Here is a relaxed PrTmCrN4 crystal from Alexandria via LeMat-Bulk. Energies are from PBE.

extended XYZ file:
```
14
Lattice="-1.038 1.921 5.101 0.612 -5.088 2.040 6.714 0.382 -1.062" Properties=species:S:1:pos:R:3 pbc="T T T"
Tm 3.560 -0.678 0.968
N 1.061 -2.903 3.626
N 3.818 -2.784 3.096
N 3.954 2.111 4.160
N 4.253 -0.378 5.158
N 2.470 -0.002 2.983
Tm 2.728 -2.107 5.111
N 2.035 -2.408 0.921
Pr 0.315 -0.719 1.842
N 5.227 0.117 2.453
Cr 2.313 -3.225 2.448
Cr 3.975 0.439 3.631
N 2.334 -4.897 1.919
Pr 5.973 -2.067 4.237
```

Computed properties:
Formation energy without anion corrections in eV per atom: -1.107
Total energy in eV per atom: -8.560

No. 3
Here is a relaxed PrTm2CrN4 crystal from Alexandria via LeMat-Bulk. Energies are from PBE.

extended XYZ file:
```
16
Lattice="-0.293 -0.106 3.374 1.636 -5.523 -1.733 11.042 2.940 1.052" Properties=species:S:1:pos:R:3 pbc="T T T"
Tm 7.098 -2.524 0.538
N 5.521 1.470 0.526
Cr 9.124 -1.550 2.445
Tm 11.666 -1.307 0.973
Cr 3.261 -1.139 0.248
Tm 0.718 -1.381 1.720
Pr 8.561 1.159 0.781
N 10.236 -0.121 2.587
Pr 3.824 -3.848 1.913
N 7.446 -0.864 2.321
N 0.000 0.000 0.000
Tm 5.287 -0.165 2.156
N 2.148 -2.567 0.106
N 4.938 -1.825 0.372
N 9.532 -2.475 0.751
N 2.853 -0.214 1.942
```

Computed properties:
N(E_F) in states/eV per cell: 6.83
Formation energy without anion corrections in eV per atom: -1.302
Total energy in eV per atom: -8.383

No. 4
Here is a relaxed Pr2UCr2N6 crystal from Alexandria via LeMat-Bulk. Energies are from PBE.

extended XYZ file:
```
11
Lattice="-5.323 1.284 1.462 -1.438 0.315 5.474 -0.892 6.136 2.347" Properties=species:S:1:pos:R:3 pbc="T T T"
N -3.100 5.023 6.272
N -5.095 5.520 4.213
Pr -5.898 5.153 6.958
N -5.291 2.875 5.820
Pr -1.756 2.583 2.325
Cr -4.231 2.204 4.631
Cr -3.423 5.531 4.652
N -2.362 4.861 3.463
U 0.000 0.000 0.000
N -4.553 2.713 3.011
N -2.559 2.216 5.070
```

Computed properties:
N(E_F) in states/eV per cell: 8.31
Formation energy without anion corrections in eV per atom: -0.838
Total energy in eV per atom: -9.024

No. 5
Here is a relaxed PrUCrN3 crystal from Alexandria via LeMat-Bulk. Energies are from PBE.

extended XYZ file:
```
12
Lattice="-0.301 0.323 -3.354 -4.312 -5.905 -0.181 -4.713 5.605 0.963" Properties=species:S:1:pos:R:3 pbc="T T T"
Pr -1.831 0.194 -0.670
Pr -7.496 -0.171 -1.902
Cr -6.107 -2.807 -2.281
N -3.274 1.813 -2.090
U -5.545 2.887 -1.783
U -3.782 -2.864 -0.789
Cr -3.220 2.830 -0.291
N -4.691 -4.145 -2.536
N -6.566 1.665 -0.103
N -4.635 4.168 -0.035
N -6.053 -1.790 -0.481
N -2.760 -1.642 -2.469
```

Computed properties:
N(E_F) in states/eV per cell: 10.53
Formation energy without anion corrections in eV per atom: -1.012
Total energy in eV per atom: -9.456

No. 6
Here is a relaxed PrU2CrN4 crystal from Alexandria via LeMat-Bulk. Energies are from PBE.

extended XYZ file:
```
16
Lattice="-1.822 2.179 1.859 -2.408 -5.476 0.961 7.048 -1.565 8.741" Properties=species:S:1:pos:R:3 pbc="T T T"
N 2.394 -4.997 8.203
N 1.872 -1.928 7.193
U 1.467 -4.095 6.237
N 3.770 -2.350 9.547
Cr 2.133 -3.048 8.762
N 0.000 0.000 0.000
N 3.524 -0.782 4.370
N -0.951 -2.512 2.013
Pr 4.630 -2.040 6.929
N 0.947 -2.934 4.367
Pr -1.811 -2.822 4.631
U -1.404 -0.155 1.905
U 4.223 -4.707 9.655
U 1.352 -0.767 5.323
N 0.425 0.135 3.357
Cr 0.686 -1.814 2.798
```

Computed properties:
N(E_F) in states/eV per cell: 12.60
Formation energy without anion corrections in eV per atom: -1.157
Total energy in eV per atom: -9.942

No. 7
Here is a relaxed Pr2VCrN5 crystal from Alexandria via LeMat-Bulk. Energies are from PBE.

extended XYZ file:
```
18
Lattice="-1.730 -0.056 -2.831 6.711 -1.329 -2.130 -1.592 -9.921 1.171" Properties=species:S:1:pos:R:3 pbc="T T T"
Pr 0.312 -7.054 -0.050
N 3.084 -4.656 -1.792
V -1.649 -9.579 -0.746
N 0.477 -0.413 -0.283
Cr 2.428 -0.874 -1.466
V 4.414 -5.612 -2.585
N 2.416 -7.178 -1.333
Pr 2.117 -9.092 -3.057
Cr 1.661 -6.070 -2.838
N 0.183 -5.481 -1.947
N -0.119 -9.287 -1.687
Pr 3.304 -2.832 -3.907
N 3.615 -6.516 -4.023
N -1.332 -2.948 -1.072
N 3.982 -0.988 -2.414
N 1.314 -2.006 -2.707
Pr 1.069 -3.474 -0.584
N 4.580 -9.236 -2.614
```

Computed properties:
N(E_F) in states/eV per cell: 3.03
Formation energy without anion corrections in eV per atom: -0.960
Total energy in eV per atom: -8.730

No. 8
Here is a relaxed Pr2CrWN5 crystal from Alexandria via LeMat-Bulk. Energies are from PBE.

extended XYZ file:
```
18
Lattice="3.294 0.000 0.000 -1.647 7.108 0.000 0.000 0.000 10.123" Properties=species:S:1:pos:R:3 pbc="T T T"
Pr 0.000 1.709 6.974
W 1.647 4.191 5.223
Pr 1.647 5.220 8.223
N 1.647 2.304 5.088
Pr 0.000 1.888 3.161
W 0.000 2.917 0.161
N 0.000 4.224 6.584
N 0.000 4.804 0.026
N 0.000 7.078 2.987
Cr 0.000 6.351 4.558
N 1.647 6.464 5.371
N 0.000 4.537 3.826
N 1.647 0.030 8.048
N 1.647 2.885 1.522
N 0.000 0.644 0.309
Cr 1.647 0.758 9.619
N 1.647 2.572 8.888
Pr 1.647 5.399 1.912
```

Computed properties:
N(E_F) in states/eV per cell: 6.79
Formation energy without anion corrections in eV per atom: -0.849
Total energy in eV per atom: -9.045